Entry 1:
A plane-wave DFT calculation with GGA-PBEsol was carried out for a relaxed structure of ReMo3.

- Formation enthalpy at 0 K: 0.036 eV/atom
- Volume: 120.8 Å³/cell

Unit cell a=4.3924 b=5.4002 c=5.4002 alpha=109.48 beta=90.00 gamma=90.00
Fractional positions:
Mo1 0.7500 0.6264 0.8763
Mo2 0.7500 0.1264 0.8736
Mo3 0.2500 0.8763 0.6264
Mo4 0.7500 0.1237 0.3736
Mo5 0.2500 0.3736 0.1237
Mo6 0.2500 0.8736 0.1264
Re1 0.7500 0.6237 0.3763
Re2 0.2500 0.3763 0.6237

***

Entry 2:
A plane-wave DFT calculation with GGA-PBEsol was carried out for a relaxed structure of RbIn3S5.

- Raw formation energy: -760 meV/atom
- Volume: 655.8 Å³/cell

Unit cell a=3.7696 b=12.2918 c=15.3095 alpha=112.41 beta=90.00 gamma=90.00
Fractional positions:
In1 0.5000 0.7790 0.2729
In2 0.5000 0.8241 0.8343
In3 0.0000 0.1168 0.9301
In4 0.0000 0.8832 0.0699
In5 0.0000 0.4822 0.2864
In6 0.5000 0.1759 0.1657
In7 0.5000 0.2210 0.7271
In8 0.5000 0.5000 0.5000
In9 0.0000 0.5178 0.7136
S1 0.5000 0.3576 0.3214
S2 0.0000 0.1221 0.6259
S3 0.5000 0.0000 0.0000
S4 0.0000 0.9327 0.7810
S5 0.0000 0.8779 0.3741
S6 0.5000 0.5594 0.2101
S7 0.0000 0.2721 0.1022
S8 0.0000 0.3798 0.5411
S9 0.5000 0.4406 0.7899
S10 0.0000 0.7279 0.8978
S11 0.5000 0.7663 0.1064
S12 0.5000 0.2337 0.8936
S13 0.0000 0.6202 0.4589
S14 0.0000 0.0673 0.2190
S15 0.5000 0.6424 0.6786
Rb1 0.5000 0.8625 0.5741
Rb2 0.5000 0.1375 0.4259
Rb3 0.0000 0.5000 0.0000